1.
Entry from the Alexandria database: Dy2ZrTaN4 after structural relaxation (PBE-GGA).

Structure (POSCAR):
```
Dy2ZrTaN4
1.0
3.2862 0.0000 0.0000
0.0000 5.7032 0.1021
0.0000 -1.9914 5.4276
Dy Ta Zr N
2 1 1 4
Cartesian
1.6431 -0.9957 2.7138
0.0000 1.8559 2.7648
0.0000 0.0000 0.0000
1.6431 2.8516 0.0510
0.0000 -0.1129 4.2095
1.6431 2.8282 4.2881
0.0000 3.8246 1.3202
1.6431 0.8835 1.2416
```

raw formation energy = -35.76 kcal/mol of atoms
Fermi-level density of states = 0.228 states/eV/atom

***

2.
Entry from the Alexandria database: Pu3AlPt4 after structural relaxation (PBE-GGA).

Structure (POSCAR):
```
Pu3AlPt4
1.0
4.0090 0.0000 0.0000
0.0000 6.3912 0.0000
-2.0045 -3.1956 7.1573
Pu Al Pt
3 1 4
Cartesian
0.0000 0.0000 2.7351
2.0045 3.1956 4.4221
0.0000 3.1956 0.0000
2.0045 0.0000 0.0000
0.0000 1.3662 5.4417
2.0045 1.8294 1.7156
2.0045 4.5618 1.7156
0.0000 -1.3662 5.4417
```

Fermi-level density of states = 5.389 states/eV/atom
energy of formation from the pure elements = -5.430 eV/f.u.

***

3.
Entry from the Alexandria database: LaY after structural relaxation (PBE-GGA).

Structure (POSCAR):
```
LaY
1.0
5.8458 0.0000 0.0000
2.9229 5.0626 0.0000
2.9229 1.6875 4.7731
Y La
2 2
Cartesian
8.7688 5.0626 3.5798
5.8458 3.3751 2.3866
0.0000 0.0000 0.0000
2.9229 1.6875 1.1933
```

energy relative to the lowest polymorph listed for this composition = 140 meV/atom
Fermi-level density of states = 2.390 states/eV/atom
energy of formation from the pure elements = 0.289 eV/f.u.

***

4.
Entry from the Alexandria database: Hf4SiCN2 after structural relaxation (PBE-GGA).

Structure (POSCAR):
```
Hf4SiCN2
1.0
-4.2253 -4.0252 -0.8083
0.9849 -5.4125 0.3347
-2.4440 -2.5907 4.2063
Si Hf N C
1 4 2 1
Cartesian
0.0000 0.0000 0.0000
-3.1872 -3.8870 1.8400
-3.5123 -6.6817 -0.0702
-0.7727 -6.4985 2.2226
-3.8968 -6.9896 3.4729
-1.4210 -3.0072 0.9333
-4.2634 -9.0212 2.7993
-2.8422 -6.0142 1.8663
```

raw formation energy = -19.79 kcal/mol of atoms
Fermi-level density of states = 0.584 states/eV/atom

***

5.
Entry from the Alexandria database: BaCuPO2 after structural relaxation (PBE-GGA).

Structure (POSCAR):
```
BaCuPO2
1.0
-3.2184 -1.3964 -2.6146
-1.8312 -2.0983 3.3747
-3.8887 5.9669 1.6000
Ba P O Cu
1 1 2 1
Cartesian
0.0000 0.0000 0.0000
-1.9443 2.9835 0.8000
-1.6092 -0.6982 -1.3073
-0.9156 -1.0491 1.6873
-4.4691 1.2361 1.1800
```

energy relative to the lowest polymorph listed for this composition = 1031 meV/atom
raw formation energy = 11.26 kcal/mol of atoms
Fermi-level density of states = 0.556 states/eV/atom

***

6.
Entry from the Alexandria database: Ca2NpMnN5 after structural relaxation (PBE-GGA).

Structure (POSCAR):
```
Ca2NpMnN5
1.0
3.4626 0.0000 0.0000
-1.7313 6.7019 0.0000
0.0000 0.0000 10.8343
Np N Mn Ca
2 10 2 4
Cartesian
1.7313 3.9625 5.8384
0.0000 2.7393 0.4213
1.7313 0.0630 3.0553
1.7313 2.0014 5.4835
0.0000 6.6388 8.4725
0.0000 0.5725 0.0061
1.7313 2.8981 1.7198
0.0000 4.7004 0.0664
0.0000 4.2660 4.5151
1.7313 2.4359 9.9322
0.0000 3.8037 7.1369
1.7313 6.1293 5.4232
0.0000 6.1187 4.6154
1.7313 0.5831 10.0326
0.0000 1.2246 7.1429
0.0000 1.8793 3.6361
1.7313 5.4773 1.7257
1.7313 4.8226 9.0533
```

raw formation energy = -18.07 kcal/mol of atoms
Fermi-level density of states = 0.326 states/eV/atom

***

| no. | volume (Å³ per cell) |
| --- | --- |
| 1 | 102.4 |
| 2 | 183.4 |
| 3 | 141.3 |
| 4 | 125.3 |
| 5 | 139.8 |
| 6 | 251.4 |